# 1
The following is a DFT calculation (GGA-PBE) of crystalline BaNaCuPb2 at its relaxed geometry.

CIF file:
```
data_BaNaCuPb2
_cell_length_a 5.359
_cell_length_b 5.359
_cell_length_c 5.438
_cell_angle_alpha 90.00
_cell_angle_beta 90.00
_cell_angle_gamma 90.00
_symmetry_space_group_name_H-M 'P 1'
_symmetry_Int_Tables_number 1
loop_
_symmetry_equiv_pos_as_xyz
'x,y,z'
loop_
_atom_site_label
_atom_site_type_symbol
_atom_site_fract_x
_atom_site_fract_y
_atom_site_fract_z
_atom_site_occupancy
Ba1 Ba 0.500 0.500 0.500 1
Pb1 Pb 0.000 0.500 0.000 1
Pb2 Pb 0.500 0.000 0.000 1
Na1 Na 0.000 0.000 0.500 1
Cu1 Cu 0.000 0.000 0.000 1
```

## Properties
- crystal system = tetragonal
- calculated density (g/cm3) = 6.8
- energy relative to the elements (meV per atom) = -123
- symmetry = P4/mmm, No. 123

# 2
The following is a DFT calculation (GGA-PBE) of crystalline RbBa2NaCu at its relaxed geometry.

CIF file:
```
data_RbBa2NaCu
_cell_length_a 6.376
_cell_length_b 6.376
_cell_length_c 6.330
_cell_angle_alpha 90.00
_cell_angle_beta 90.00
_cell_angle_gamma 90.00
_symmetry_space_group_name_H-M 'P 1'
_symmetry_Int_Tables_number 1
loop_
_symmetry_equiv_pos_as_xyz
'x,y,z'
loop_
_atom_site_label
_atom_site_type_symbol
_atom_site_fract_x
_atom_site_fract_y
_atom_site_fract_z
_atom_site_occupancy
Ba1 Ba 0.000 0.500 0.000 1
Ba2 Ba 0.500 0.000 0.000 1
Rb1 Rb 0.500 0.500 0.500 1
Cu1 Cu 0.000 0.000 0.000 1
Na1 Na 0.000 0.000 0.500 1
```

## Properties
- crystal system = tetragonal
- calculated density (g/cm3) = 2.9
- energy relative to the lowest polymorph listed for this composition (eV/atom) = 0.000
- energy relative to the elements (meV per atom) = 111
- symmetry = P4/mmm, No. 123

# 3
The following is a DFT calculation (GGA-PBE) of crystalline RbBa2NaCu at its relaxed geometry.

CIF file:
```
data_RbBa2NaCu
_cell_length_a 6.359
_cell_length_b 6.359
_cell_length_c 6.746
_cell_angle_alpha 90.00
_cell_angle_beta 90.00
_cell_angle_gamma 90.00
_symmetry_space_group_name_H-M 'P 1'
_symmetry_Int_Tables_number 1
loop_
_symmetry_equiv_pos_as_xyz
'x,y,z'
loop_
_atom_site_label
_atom_site_type_symbol
_atom_site_fract_x
_atom_site_fract_y
_atom_site_fract_z
_atom_site_occupancy
Rb1 Rb 0.000 0.000 0.500 1
Cu1 Cu 0.000 0.000 0.000 1
Ba1 Ba 0.500 0.000 0.000 1
Ba2 Ba 0.000 0.500 0.000 1
Na1 Na 0.500 0.500 0.500 1
```

## Properties
- crystal system = tetragonal
- calculated density (g/cm3) = 2.7
- energy relative to the lowest polymorph listed for this composition (eV/atom) = 0.011
- energy relative to the elements (meV per atom) = 122
- symmetry = P4/mmm, No. 123